Nd6SbP3S2 | GGA-PBE | optimized geometry

a b c (Å): 18.353 4.197 8.433
angles (deg): 90.00 103.69 90.00
Space group C2/m (No. 12)
Inequivalent atoms, fractional coordinates:
Nd: 0.000 0.000 0.233 [4 per cell]
Nd: 0.165 0.500 0.088 [4 per cell]
Nd: 0.173 0.500 0.582 [4 per cell]
Sb: 0.000 0.500 0.500 [2 per cell]
P: 0.000 0.500 0.000 [2 per cell]
P: 0.166 0.000 0.331 [4 per cell]
S: 0.169 0.000 0.837 [4 per cell]

Calculated values
- DOS at the Fermi energy (states/eV/f.u.) = 4.10
- crystal system = monoclinic
- total magnetization (μB/atom) = 0.00
- energy relative to the elements, uncorrected (eV/atom) = -1.659
- final energy (eV per cell) = -154.2

CePrS2 | GGA-PBE | optimized geometry

a b c (Å): 4.0678 4.0678 19.9260
angles (deg): 90.00 90.00 120.00
Space group R-3m (No. 166, hexagonal axes)
Inequivalent atoms, fractional coordinates:
Ce: 0.0000 0.0000 0.0000 [3 per cell]
Pr: 0.0000 0.0000 0.5000 [3 per cell]
S: 0.0000 0.0000 0.2521 [6 per cell]

Calculated values
- DOS at the Fermi energy (states/eV/f.u.) = 5.93
- crystal system = trigonal
- total magnetization (μB/atom) = 0.20
- energy relative to the elements, uncorrected (eV/atom) = -2.036
- final energy (eV per cell) = -81.3

SrCaCl4 | GGA-PBE | optimized geometry

a b c (Å): 15.446 6.890 6.892
angles (deg): 90.00 116.34 90.00
Space group C2/c (No. 15)
Inequivalent atoms, fractional coordinates:
Sr: 0.000 0.250 0.250 [4 per cell]
Ca: 0.250 0.250 0.000 [4 per cell]
Cl: 0.129 0.002 0.126 [8 per cell]
Cl: 0.129 0.498 0.630 [8 per cell]

Calculated values
- DOS at the Fermi energy (states/eV/f.u.) = 0.00
- crystal system = monoclinic
- total magnetization (μB/atom) = 0.00
- energy relative to the elements, uncorrected (eV/atom) = -2.409
- final energy (eV per cell) = -102.1

HoThReAg | GGA-PBE | optimized geometry

a b c (Å): 7.154 7.154 7.154
angles (deg): 90.00 90.00 90.00
Space group F-43m (No. 216)
Inequivalent atoms, fractional coordinates:
Ho: 0.000 0.000 0.000 [4 per cell]
Th: 0.000 0.000 0.500 [4 per cell]
Re: 0.250 0.250 0.750 [4 per cell]
Ag: 0.250 0.250 0.250 [4 per cell]

Calculated values
- DOS at the Fermi energy (states/eV/f.u.) = 2.46
- crystal system = cubic
- total magnetization (μB/atom) = 0.00
- final energy (eV per cell) = -109.6